(1)
Compound: Hf2NiBi2Os
Source: OQMD
Functional: PBE
Structure: optimized geometry

The space group is I-42d (No. 122) and the conventional cell measures 6.3714, 6.3714 and 12.6775 Å, with angles of 90.00, 90.00 and 90.00 degrees. The distinct sites, in fractional coordinates, are Hf at (0.2454, 0.7500, 0.1250), Ni at (0.0000, 0.0000, 0.5000), Bi at (0.2372, 0.2500, 0.6250) and Os at (0.0000, 0.0000, 0.0000).

The total magnetic moment is 0.00 μB/f.u. As for the density: 13.21 g cm⁻³. As for the electronic total energy: -185.78 eV for the cell shown.

(2)
Compound: Hf3Ni4Bi2P2
Source: OQMD
Functional: PBE
Structure: optimized geometry

The space group is I-42m (No. 121) and the conventional cell measures 5.8463, 5.8463 and 12.1782 Å, with angles of 90.00, 90.00 and 90.00 degrees. The distinct sites, in fractional coordinates, are Hf at (0.0000, 0.0000, 0.0000), Hf at (0.0000, 0.5000, 0.2500), Ni at (0.2416, 0.2416, 0.8601), Bi at (0.0000, 0.5000, 0.0000) and P at (0.0000, 0.0000, 0.2491).

The total magnetic moment is 0.00 μB/f.u. As for the density: 9.97 g cm⁻³. As for the electronic total energy: -152.76 eV for the cell shown.

(3)
Compound: HfNiBiPd
Source: OQMD
Functional: PBE
Structure: optimized geometry

The space group is F-43m (No. 216) and the conventional cell measures 6.6263, 6.6263 and 6.6263 Å, with angles of 90.00, 90.00 and 90.00 degrees. The distinct sites, in fractional coordinates, are Hf at (0.0000, 0.0000, 0.0000), Ni at (0.2500, 0.2500, 0.7500), Bi at (0.0000, 0.0000, 0.5000) and Pd at (0.2500, 0.2500, 0.2500).

The total magnetic moment is 0.00 μB/f.u. As for the density: 12.62 g cm⁻³. The energy relative to the lowest polymorph listed for this composition is 0.000 eV per atom.

(4)
Compound: HfNiBiPd
Source: OQMD
Functional: PBE
Structure: optimized geometry

The space group is F-43m (No. 216) and the conventional cell measures 6.6280, 6.6280 and 6.6280 Å, with angles of 90.00, 90.00 and 90.00 degrees. The distinct sites, in fractional coordinates, are Hf at (0.0000, 0.0000, 0.0000), Ni at (0.0000, 0.0000, 0.5000), Bi at (0.2500, 0.2500, 0.2500) and Pd at (0.2500, 0.2500, 0.7500).

The total magnetic moment is 0.01 μB/f.u. As for the density: 12.61 g cm⁻³. The energy relative to the lowest polymorph listed for this composition is 0.166 eV per atom.

(5)
Compound: HfZr2Ni2Bi4Pd2
Source: OQMD
Functional: PBE
Structure: optimized geometry

The space group is Pm (No. 6) and the conventional cell measures 7.1520, 4.3481 and 7.7326 Å, with angles of 90.00, 92.36 and 90.00 degrees. The distinct sites, in fractional coordinates, are Hf at (0.0000, 0.0000, 0.0000), Zr at (0.5005, 0.5000, 0.5457), Zr at (0.9543, 0.5000, 0.5498), Ni at (0.0521, 0.0000, 0.3364), Ni at (0.8672, 0.5000, 0.2102), Bi at (0.2378, 0.0000, 0.6585), Bi at (0.2440, 0.5000, 0.2242), Bi at (0.6741, 0.5000, 0.9083), Bi at (0.6777, 0.0000, 0.3238), Pd at (0.2458, 0.5000, 0.8752) and Pd at (0.7628, 0.0000, 0.6954).

The total magnetic moment is 0.00 μB/f.u. As for the density: 10.55 g cm⁻³. As for the electronic total energy: -68.63 eV for the cell shown.

(6)
Compound: Hf2ZrNi2Bi4Pd2
Source: OQMD
Functional: PBE
Structure: optimized geometry

The space group is Pm (No. 6) and the conventional cell measures 7.1887, 4.3185 and 7.7311 Å, with angles of 90.00, 92.89 and 90.00 degrees. The distinct sites, in fractional coordinates, are Hf at (0.0000, 0.0000, 0.0000), Hf at (0.4956, 0.5000, 0.4457), Zr at (0.4469, 0.0000, 0.9998), Ni at (0.3672, 0.0000, 0.6578), Ni at (0.5456, 0.5000, 0.7802), Bi at (0.1657, 0.0000, 0.3632), Bi at (0.1730, 0.5000, 0.7743), Bi at (0.7332, 0.5000, 0.1001), Bi at (0.7430, 0.0000, 0.6746), Pd at (0.2427, 0.5000, 0.1471) and Pd at (0.7395, 0.0000, 0.3241).

The total magnetic moment is 0.00 μB/f.u. As for the density: 11.18 g cm⁻³. As for the electronic total energy: -69.71 eV for the cell shown.

(7)
Compound: HfReNiBi
Source: OQMD
Functional: PBE
Structure: optimized geometry

The space group is F-43m (No. 216) and the conventional cell measures 6.6327, 6.6327 and 6.6327 Å, with angles of 90.00, 90.00 and 90.00 degrees. The distinct sites, in fractional coordinates, are Hf at (0.0000, 0.0000, 0.0000), Re at (0.2500, 0.2500, 0.7500), Ni at (0.0000, 0.0000, 0.5000) and Bi at (0.2500, 0.2500, 0.2500).

The total magnetic moment is 1.43 μB/f.u. As for the density: 14.40 g cm⁻³. As for the electronic total energy: -118.45 eV for the cell shown.

(8)
Compound: Hf3Ni4Bi2Sb2
Source: OQMD
Functional: PBE
Structure: optimized geometry

The space group is I-42m (No. 121) and the conventional cell measures 6.1276, 6.1276 and 12.2163 Å, with angles of 90.00, 90.00 and 90.00 degrees. The distinct sites, in fractional coordinates, are Hf at (0.0000, 0.0000, 0.0000), Hf at (0.0000, 0.5000, 0.2500), Ni at (0.2369, 0.2369, 0.8664), Bi at (0.0000, 0.5000, 0.0000) and Sb at (0.0000, 0.0000, 0.2631).

The total magnetic moment is 0.00 μB/f.u. As for the density: 10.37 g cm⁻³. The energy relative to the lowest polymorph listed for this composition is 0.000 eV per atom.